1.
A relaxed structure of SrLaZn2Pt2. Source: the Alexandria database, functional PBE.

Calculated values
magnetization	0.00	Bohr magnetons per cell
energy of formation	-811.8	meV/atom
final energy	-26.11	eV for the cell shown
Fermi-level density of states	4.83	states/eV/cell

abc: 4.4684 4.4684 8.1285
angles: 90.00 90.00 120.00
Fractional coordinates of all 6 atoms:
Sr: 0.0000 0.0000 0.5000
La: 0.0000 0.0000 0.0000
Zn: 0.6667 0.3333 0.7578
Zn: 0.3333 0.6667 0.2422
Pt: 0.6667 0.3333 0.2255
Pt: 0.3333 0.6667 0.7745

=====

2.
A relaxed structure of La2TaPt. Source: the Alexandria database, functional PBE.

Calculated values
magnetization	0.00	Bohr magnetons per cell
energy of formation	27.6	meV/atom
energy above the most stable polymorph in this dataset	284	meV/atom
final energy	-27.64	eV for the cell shown
Fermi-level density of states	4.95	states/eV/cell

abc: 5.0386 5.0386 5.0386
angles: 60.00 60.00 60.00
Fractional coordinates of all 4 atoms:
La: 0.0000 0.0000 0.0000
La: 0.2500 0.2500 0.2500
Pt: 0.5000 0.5000 0.5000
Ta: 0.7500 0.7500 0.7500

=====

3.
A relaxed structure of LaTa3Pt. Source: the Alexandria database, functional PBE.

Calculated values
magnetization	0.01	Bohr magnetons per cell
energy of formation	834.1	meV/atom
energy above the most stable polymorph in this dataset	0	meV/atom
final energy	-42.36	eV for the cell shown
Fermi-level density of states	11.69	states/eV/cell

abc: 5.0004 5.0004 5.0004
angles: 90.00 90.00 90.00
Fractional coordinates of all 5 atoms:
La: 0.5000 0.5000 0.5000
Pt: 0.0000 0.0000 0.0000
Ta: 0.0000 0.5000 0.0000
Ta: 0.0000 0.0000 0.5000
Ta: 0.5000 0.0000 0.0000

=====

4.
A relaxed structure of La2TaPt. Source: the Alexandria database, functional PBE.

Calculated values
magnetization	0.00	Bohr magnetons per cell
energy of formation	38.7	meV/atom
energy above the most stable polymorph in this dataset	295	meV/atom
final energy	-27.59	eV for the cell shown
Fermi-level density of states	5.05	states/eV/cell

abc: 5.9992 5.9992 5.9992
angles: 137.65 137.65 61.44
Fractional coordinates of all 4 atoms:
La: 0.0000 0.0000 0.0000
La: 0.2500 0.7500 0.5000
Pt: 0.5000 0.5000 0.0000
Ta: 0.7500 0.2500 0.5000

=====

5.
A relaxed structure of La2TaPt. Source: the Alexandria database, functional PBE.

Calculated values
magnetization	0.01	Bohr magnetons per cell
energy of formation	54.7	meV/atom
energy above the most stable polymorph in this dataset	311	meV/atom
final energy	-27.53	eV for the cell shown
Fermi-level density of states	5.51	states/eV/cell

abc: 5.6515 5.6515 5.2479
angles: 62.39 62.39 41.66
Fractional coordinates of all 4 atoms:
La: 0.9820 0.9820 0.0184
La: 0.5180 0.5180 0.4816
Pt: 0.2500 0.2500 0.2500
Ta: 0.7500 0.7500 0.7500

=====

6.
A relaxed structure of LaTaPt. Source: the Alexandria database, functional PBE.

Calculated values
magnetization	0.82	Bohr magnetons per cell
energy of formation	148.6	meV/atom
energy above the most stable polymorph in this dataset	519	meV/atom
final energy	-22.38	eV for the cell shown
Fermi-level density of states	4.35	states/eV/cell

abc: 4.7745 4.7745 4.7745
angles: 60.00 60.00 60.00
Fractional coordinates of all 3 atoms:
La: 0.5000 0.5000 0.5000
Pt: 0.2500 0.2500 0.2500
Ta: 0.0000 0.0000 0.0000

=====

7.
A relaxed structure of LaTaPt. Source: the Alexandria database, functional PBE.

Calculated values
magnetization	0.00	Bohr magnetons per cell
energy of formation	-345.0	meV/atom
energy above the most stable polymorph in this dataset	25	meV/atom
final energy	-23.86	eV for the cell shown
Fermi-level density of states	3.38	states/eV/cell

abc: 6.5557 6.5554 3.3470
angles: 75.22 75.20 29.58
Fractional coordinates of all 3 atoms:
La: 0.0006 0.0006 0.9994
Pt: 0.3003 0.3003 0.6997
Ta: 0.6990 0.6990 0.3010

=====

8.
A relaxed structure of LaTaPt. Source: the Alexandria database, functional PBE.

Calculated values
magnetization	0.51	Bohr magnetons per cell
energy of formation	917.9	meV/atom
energy above the most stable polymorph in this dataset	1288	meV/atom
final energy	-20.07	eV for the cell shown
Fermi-level density of states	4.36	states/eV/cell

abc: 4.6834 4.6834 4.6834
angles: 60.00 60.00 60.00
Fractional coordinates of all 3 atoms:
La: 0.2500 0.2500 0.2500
Pt: 0.0000 0.0000 0.0000
Ta: 0.5000 0.5000 0.5000